No. 1
Computed, not measured: a geometry-optimized TaFeTeI2 structure at the GGA-PBE level of DFT.

Lattice parameters (Å, degrees): 4.9799 4.9799 5.0333 90.00 90.00 90.00
Sites, in units of the cell vectors:
Ta (0.0000, 0.0000, 0.0000)
Fe (0.5000, 0.5000, 0.5000)
Te (0.5000, 0.5000, 0.0000)
I (0.0000, 0.5000, 0.5000)
I (0.5000, 0.0000, 0.5000)

**Raw formation energy**: 1.218 eV/atom
**Volume**: 25.0 Å³/atom
**Total energy**: -4.094 eV/atom
**Distance to the lowest polymorph of the same formula**: 0.3556 eV/atom

No. 2
Computed, not measured: a geometry-optimized TaFeTeI2 structure at the GGA-PBE level of DFT.

Lattice parameters (Å, degrees): 5.5823 5.5823 5.4085 90.00 90.00 90.00
Sites, in units of the cell vectors:
Ta (0.0000, 0.0000, 0.0000)
Fe (0.5000, 0.5000, 0.5000)
Te (0.0000, 0.0000, 0.5000)
I (0.0000, 0.5000, 0.0000)
I (0.5000, 0.0000, 0.0000)

**Raw formation energy**: 0.862 eV/atom
**Volume**: 33.7 Å³/atom
**Total energy**: -4.449 eV/atom
**Distance to the lowest polymorph of the same formula**: 0.0000 eV/atom

No. 3
Computed, not measured: a geometry-optimized TaFeTe2I structure at the GGA-PBE level of DFT.

Lattice parameters (Å, degrees): 4.9425 4.9425 4.9741 90.00 90.00 90.00
Sites, in units of the cell vectors:
Ta (0.0000, 0.0000, 0.0000)
Fe (0.5000, 0.5000, 0.5000)
Te (0.0000, 0.5000, 0.5000)
Te (0.5000, 0.0000, 0.5000)
I (0.5000, 0.5000, 0.0000)

**Raw formation energy**: 1.104 eV/atom
**Volume**: 24.3 Å³/atom
**Total energy**: -4.526 eV/atom
**Distance to the lowest polymorph of the same formula**: 0.2769 eV/atom

No. 4
Computed, not measured: a geometry-optimized TbFe2I8 structure at the GGA-PBE level of DFT.

Lattice parameters (Å, degrees): 8.0308 8.0308 10.2499 106.95 106.95 99.62
Sites, in units of the cell vectors:
Tb (0.0000, 0.0000, 0.0000)
Fe (0.0212, 0.0212, 0.6470)
Fe (0.9788, 0.9788, 0.3530)
I (0.1190, 0.7743, 0.1960)
I (0.2257, 0.8810, 0.8040)
I (0.2336, 0.2336, 0.5768)
I (0.3097, 0.3097, 0.2065)
I (0.6903, 0.6903, 0.7935)
I (0.7664, 0.7664, 0.4232)
I (0.7743, 0.1190, 0.1960)
I (0.8810, 0.2257, 0.8040)

**Raw formation energy**: -0.582 eV/atom
**Volume**: 52.9 Å³/atom
**Total energy**: -3.669 eV/atom

No. 5
Computed, not measured: a geometry-optimized Tb3FeI3 structure at the GGA-PBE level of DFT.

Lattice parameters (Å, degrees): 12.2809 12.2809 12.2809 33.12 33.12 33.12
Sites, in units of the cell vectors:
Tb (0.0913, 0.4556, 0.8190)
Tb (0.1810, 0.9087, 0.5444)
Tb (0.4556, 0.8190, 0.0913)
Tb (0.5444, 0.1810, 0.9087)
Tb (0.8190, 0.0913, 0.4556)
Tb (0.9087, 0.5444, 0.1810)
Fe (0.1667, 0.1667, 0.1667)
Fe (0.8333, 0.8333, 0.8333)
I (0.0711, 0.7173, 0.3939)
I (0.2827, 0.6061, 0.9289)
I (0.3939, 0.0711, 0.7173)
I (0.6061, 0.9289, 0.2827)
I (0.7173, 0.3939, 0.0711)
I (0.9289, 0.2827, 0.6061)

**Raw formation energy**: -0.688 eV/atom
**Volume**: 35.1 Å³/atom
**Total energy**: -4.546 eV/atom

No. 6
Computed, not measured: a geometry-optimized Tb7FeI12 structure at the GGA-PBE level of DFT.

Lattice parameters (Å, degrees): 9.7800 9.7800 9.7800 106.89 106.89 106.89
Sites, in units of the cell vectors:
Tb (0.0000, 0.0000, 0.0000)
Tb (0.2117, 0.4792, 0.4079)
Tb (0.4079, 0.2117, 0.4792)
Tb (0.4792, 0.4079, 0.2117)
Tb (0.5208, 0.5921, 0.7883)
Tb (0.5921, 0.7883, 0.5208)
Tb (0.7883, 0.5208, 0.5921)
Fe (0.5000, 0.5000, 0.5000)
I (0.0376, 0.1156, 0.3398)
I (0.1156, 0.3398, 0.0376)
I (0.1787, 0.5718, 0.7246)
I (0.2754, 0.8213, 0.4282)
I (0.3398, 0.0376, 0.1156)
I (0.4282, 0.2754, 0.8213)
I (0.5718, 0.7246, 0.1787)
I (0.6602, 0.9624, 0.8844)
I (0.7246, 0.1787, 0.5718)
I (0.8213, 0.4282, 0.2754)
I (0.8844, 0.6602, 0.9624)
I (0.9624, 0.8844, 0.6602)

**Raw formation energy**: -1.179 eV/atom
**Volume**: 39.1 Å³/atom
**Total energy**: -4.152 eV/atom

- Which value of total energy does entry 1 give?
  -4.094 eV/atom

- The highest volume belongs to which entry?
  TbFe2I8

- What is the total energy in the second record?
  -4.449 eV/atom